1.
{
  "formula": "GdY2Al3PtAu2",
  "functional": "PBE-GGA",
  "state": "optimized geometry",
  "final_energy_ry_per_atom": -0.406,
  "volume_a3_per_cell": 187.8,
  "lattice": [[3.963, 0.000, 0.000], [0.000, 6.405, 3.698], [0.000, -6.405, 3.698]],
  "species": ["Al", "Al", "Al", "Au", "Au", "Pt", "Gd", "Y", "Y"],
  "frac_coords": [[0.500, 0.764, 0.001], [0.500, 0.001, 0.764], [0.500, 0.236, 0.236], [0.500, 0.333, 0.667], [0.500, 0.667, 0.333], [0.000, 0.001, 0.001], [0.000, 0.589, 0.589], [0.000, 0.000, 0.410], [0.000, 0.410, 0.000]]
}



2.
{
  "formula": "HfCo2Ag",
  "functional": "PBE-GGA",
  "state": "optimized geometry",
  "final_energy_ry_per_atom": -0.482,
  "volume_a3_per_cell": 60.4,
  "e_form_mev_per_atom": 190,
  "lattice": [[0.413, 1.070, 4.253], [-2.972, 2.633, 1.907], [-2.813, -1.640, 2.967]],
  "species": ["Hf", "Ag", "Co", "Co"],
  "frac_coords": [[0.000, 0.000, 0.000], [0.750, 0.750, 0.750], [0.250, 0.250, 0.250], [0.500, 0.500, 0.500]]
}



3.
{
  "formula": "BPbW",
  "functional": "PBE-GGA",
  "state": "optimized geometry",
  "de_polymorph_kj_per_mol_atoms": 0.0,
  "final_energy_ry_per_atom": -0.463,
  "volume_a3_per_cell": 50.6,
  "lattice": [[0.000, 2.935, 2.935], [2.935, 0.000, 2.935], [2.935, 2.935, 0.000]],
  "species": ["Pb", "B", "W"],
  "frac_coords": [[0.250, 0.250, 0.250], [0.000, 0.000, 0.000], [0.750, 0.750, 0.750]]
}



4.
{
  "formula": "ZrFe3S",
  "functional": "PBE-GGA",
  "state": "optimized geometry",
  "final_energy_ry_per_atom": -0.554,
  "volume_a3_per_cell": 68.7,
  "lattice": [[4.096, 0.000, 0.000], [0.000, 4.096, 0.000], [0.000, 0.000, 4.096]],
  "species": ["Fe", "Fe", "Fe", "S", "Zr"],
  "frac_coords": [[0.000, 0.500, 0.000], [0.000, 0.000, 0.500], [0.500, 0.000, 0.000], [0.000, 0.000, 0.000], [0.500, 0.500, 0.500]]
}



5.
{
  "formula": "Ac3ThAs4",
  "functional": "PBE-GGA",
  "state": "optimized geometry",
  "final_energy_ry_per_atom": -0.460,
  "volume_a3_per_cell": 251.7,
  "lattice": [[-5.635, 4.493, -2.810], [-2.727, -4.096, 5.969], [1.208, 3.260, 2.790]],
  "species": ["Ac", "Ac", "Ac", "As", "As", "As", "As", "Th"],
  "frac_coords": [[0.000, 0.500, 0.000], [0.500, 0.000, 0.000], [0.500, 0.500, 0.500], [0.242, 0.758, 0.500], [0.764, 0.764, 0.000], [0.758, 0.242, 0.500], [0.236, 0.236, 0.000], [0.000, 0.000, 0.500]]
}



6.
{
  "formula": "FeSiGe",
  "functional": "PBE-GGA",
  "state": "optimized geometry",
  "final_energy_ry_per_atom": -0.464,
  "volume_a3_per_cell": 322.9,
  "lattice": [[4.986, 0.547, -4.045], [-5.096, 1.632, -3.589], [0.922, 7.658, 2.172]],
  "species": ["Ge", "Ge", "Ge", "Ge", "Ge", "Ge", "Ge", "Ge", "Fe", "Fe", "Fe", "Fe", "Fe", "Fe", "Fe", "Fe", "Si", "Si", "Si", "Si", "Si", "Si", "Si", "Si"],
  "frac_coords": [[0.353, 0.097, 0.450], [0.853, 0.597, 0.050], [0.903, 0.647, 0.550], [0.147, 0.403, 0.950], [0.597, 0.853, 0.050], [0.403, 0.147, 0.950], [0.097, 0.353, 0.450], [0.647, 0.903, 0.550], [0.193, 0.193, 0.187], [0.307, 0.307, 0.687], [0.717, 0.283, 0.500], [0.217, 0.783, 0.000], [0.807, 0.807, 0.813], [0.283, 0.717, 0.500], [0.783, 0.217, 0.000], [0.693, 0.693, 0.313], [0.085, 0.832, 0.269], [0.668, 0.415, 0.769], [0.832, 0.085, 0.269], [0.915, 0.168, 0.731], [0.415, 0.668, 0.769], [0.332, 0.585, 0.231], [0.168, 0.915, 0.731], [0.585, 0.332, 0.231]]
}



7.
{
  "formula": "CoGePdW",
  "functional": "PBE-GGA",
  "state": "optimized geometry",
  "de_polymorph_kj_per_mol_atoms": 10.2,
  "final_energy_ry_per_atom": -0.527,
  "volume_a3_per_cell": 57.0,
  "lattice": [[-2.437, -1.683, 3.145], [-1.427, 2.516, 3.208], [-4.194, 1.005, 0.255]],
  "species": ["Ge", "Pd", "Co", "W"],
  "frac_coords": [[0.000, 0.000, 0.000], [0.250, 0.250, 0.250], [0.750, 0.750, 0.750], [0.500, 0.500, 0.500]]
}



8.
{
  "formula": "LiCuTePd",
  "functional": "PBE-GGA",
  "state": "optimized geometry",
  "de_polymorph_kj_per_mol_atoms": 0.0,
  "final_energy_ry_per_atom": -0.280,
  "volume_a3_per_cell": 65.6,
  "lattice": [[-0.078, 0.547, 4.492], [1.453, 3.875, 1.833], [-2.959, 2.863, 1.880]],
  "species": ["Te", "Pd", "Li", "Cu"],
  "frac_coords": [[0.000, 0.000, 0.000], [0.250, 0.250, 0.250], [0.500, 0.500, 0.500], [0.750, 0.750, 0.750]]
}



9.
{
  "formula": "La2Sm2CBr3Cl2",
  "functional": "PBE-GGA",
  "state": "optimized geometry",
  "de_polymorph_kj_per_mol_atoms": 0.4,
  "final_energy_ry_per_atom": -0.389,
  "volume_a3_per_cell": 297.3,
  "lattice": [[-4.922, -7.681, 0.276], [-2.975, -8.028, -3.162], [7.196, -2.144, 4.293]],
  "species": ["Br", "Br", "Br", "Sm", "Sm", "La", "La", "Cl", "Cl", "C"],
  "frac_coords": [[0.500, 0.500, 0.500], [0.828, 0.828, 0.669], [0.172, 0.172, 0.331], [0.643, 0.643, 0.075], [0.357, 0.357, 0.925], [0.003, 0.003, 0.794], [0.997, 0.997, 0.206], [0.175, 0.175, 0.863], [0.825, 0.825, 0.137], [0.500, 0.500, 0.000]]
}



10.
{
  "formula": "PuSiMo",
  "functional": "PBE-GGA",
  "state": "optimized geometry",
  "final_energy_ry_per_atom": -0.734,
  "volume_a3_per_cell": 59.0,
  "lattice": [[-3.157, 0.483, 2.981], [-4.164, 0.374, -1.269], [-2.813, -3.257, 0.750]],
  "species": ["Si", "Mo", "Pu"],
  "frac_coords": [[0.750, 0.750, 0.750], [0.000, 0.000, 0.000], [0.250, 0.250, 0.250]]
}



11.
{
  "formula": "NiPd2S5",
  "functional": "PBE-GGA",
  "state": "optimized geometry",
  "final_energy_ry_per_atom": -0.344,
  "volume_a3_per_cell": 318.0,
  "lattice": [[5.321, 1.570, -2.711], [-6.098, -0.749, -0.619], [-2.204, 14.550, 4.101]],
  "species": ["Pd", "Pd", "Pd", "Pd", "S", "S", "S", "S", "S", "S", "S", "S", "S", "S", "Ni", "Ni"],
  "frac_coords": [[0.780, 0.220, 0.901], [0.220, 0.780, 0.099], [0.220, 0.780, 0.401], [0.780, 0.220, 0.599], [0.688, 0.312, 0.750], [0.846, 0.154, 0.051], [0.591, 0.409, 0.362], [0.409, 0.591, 0.638], [0.591, 0.409, 0.138], [0.154, 0.846, 0.551], [0.846, 0.154, 0.449], [0.409, 0.591, 0.862], [0.154, 0.846, 0.949], [0.312, 0.688, 0.250], [0.699, 0.301, 0.250], [0.301, 0.699, 0.750]]
}



12.
{
  "formula": "Gd2Nb",
  "functional": "PBE-GGA",
  "state": "optimized geometry",
  "de_polymorph_kj_per_mol_atoms": 0.0,
  "final_energy_ry_per_atom": -0.406,
  "volume_a3_per_cell": 158.1,
  "e_form_mev_per_atom": 939,
  "lattice": [[0.000, 4.292, 4.292], [4.292, 0.000, 4.292], [4.292, 4.292, 0.000]],
  "species": ["Gd", "Gd", "Gd", "Gd", "Nb", "Nb"],
  "frac_coords": [[0.625, 0.625, 0.625], [0.125, 0.625, 0.625], [0.625, 0.125, 0.625], [0.625, 0.625, 0.125], [0.000, 0.000, 0.000], [0.250, 0.250, 0.250]]
}